## one
Compound: LaCr2Tc
Source: Alexandria via LeMat-Bulk
Functional: meta-GGA SCAN
Structure: PBEsol geometry

Computed properties:
For the density, the calculation gives 8.39 g/cm3. For the size of the total moment, the calculation gives 3.9 μB per formula unit.

abc: 3.0168 3.0168 7.4116
angles: 90.00 90.00 90.00
With the nearest neighbours (Å) after each atom.
Fractional coordinates of all 4 atoms:
Cr: 0.0000 0.0000 0.6838  4 Tc 2.53, 1 Cr 2.72
Cr: 0.0000 0.0000 0.3162  4 Tc 2.53, 1 Cr 2.72
La: 0.5000 0.5000 0.0000  4 La 3.02, 8 Cr 3.17
Tc: 0.5000 0.5000 0.5000  8 Cr 2.53


## two
Compound: LaCr2Tc
Source: Alexandria via LeMat-Bulk
Functional: meta-GGA SCAN
Structure: PBEsol geometry

Computed properties:
For the density, the calculation gives 8.98 g/cm3. For the size of the total moment, the calculation gives 2.7 μB per formula unit.

abc: 3.0204 4.5693 4.5693
angles: 90.00 90.00 90.00
With the nearest neighbours (Å) after each atom.
Fractional coordinates of all 4 atoms:
Cr: 0.0000 0.0000 0.5000  4 La 2.74, 4 Tc 2.74, 2 Cr 3.02
Cr: 0.0000 0.5000 0.0000  4 La 2.74, 4 Tc 2.74, 2 Cr 3.02
La: 0.5000 0.5000 0.5000  8 Cr 2.74, 2 La 3.02
Tc: 0.5000 0.0000 0.0000  8 Cr 2.74, 2 Tc 3.02


Which structure is the most stable? The one labeled one.